(1)
AgPOF2 | Alexandria | SCAN | single point on PBEsol structure; energy = -12.023 eV/atom; M_tot = 0.00 μB per cell; formation energy without anion corrections = -5.04 eV/f.u.
1.0
4.213 0.000 0.000
0.000 4.213 0.000
0.000 0.000 3.553
Ag P O F
1 1 1 2
direct
0.000 0.000 0.000 Ag
0.500 0.500 0.500 P
0.500 0.500 0.000 O
0.000 0.500 0.500 F
0.500 0.000 0.500 F



(2)
Mo2HO6 | Alexandria | SCAN | single point on PBEsol structure; energy = -14.143 eV/atom; M_tot = 0.00 μB per cell
1.0
3.720 0.000 0.000
0.000 3.761 0.000
-1.682 -1.549 8.341
Mo H O
2 1 6
direct
0.000 0.000 0.000 Mo
0.349 0.865 0.665 Mo
0.153 0.940 0.301 H
0.000 0.503 0.999 O
0.103 0.103 0.218 O
0.255 0.783 0.462 O
0.361 0.375 0.690 O
0.476 0.979 0.945 O
0.882 0.895 0.737 O



(3)
NaYI4O12 | Alexandria | SCAN | single point on PBEsol structure; energy = -15.203 eV/atom; M_tot = 0.00 μB per cell; formation energy without anion corrections = -19.86 eV/f.u.
1.0
15.538 -2.762 0.000
15.538 2.762 0.000
-0.186 0.000 12.338
Na Y I O
4 4 16 48
direct
0.226 0.774 0.500 Na
0.344 0.806 0.909 Na
0.774 0.226 0.000 Na
0.806 0.344 0.409 Na
0.220 0.605 0.105 Y
0.406 0.825 0.610 Y
0.605 0.220 0.605 Y
0.825 0.406 0.110 Y
0.080 0.586 0.704 I
0.098 0.686 0.397 I
0.109 0.481 0.974 I
0.266 0.678 0.812 I
0.278 0.785 0.155 I
0.326 0.950 0.314 I
0.442 0.947 0.021 I
0.481 0.109 0.474 I
0.540 0.925 0.748 I
0.586 0.080 0.204 I
0.678 0.266 0.312 I
0.686 0.098 0.897 I
0.785 0.278 0.655 I
0.925 0.540 0.248 I
0.947 0.442 0.521 I
0.950 0.326 0.814 I
0.016 0.213 0.269 O
0.056 0.066 0.588 O
0.058 0.964 0.803 O
0.066 0.056 0.088 O
0.082 0.767 0.275 O
0.133 0.204 0.615 O
0.135 0.248 0.398 O
0.158 0.807 0.075 O
0.204 0.133 0.115 O
0.213 0.016 0.769 O
0.248 0.135 0.898 O
0.249 0.268 0.060 O
0.268 0.249 0.560 O
0.277 0.935 0.436 O
0.288 0.294 0.850 O
0.292 0.398 0.029 O
0.294 0.288 0.350 O
0.334 0.422 0.736 O
0.352 0.505 0.465 O
0.362 0.572 0.669 O
0.398 0.292 0.529 O
0.422 0.334 0.236 O
0.497 0.706 0.238 O
0.498 0.527 0.355 O
0.505 0.352 0.965 O
0.527 0.498 0.855 O
0.545 0.561 0.068 O
0.561 0.545 0.568 O
0.572 0.362 0.169 O
0.578 0.715 0.988 O
0.629 0.739 0.685 O
0.706 0.497 0.738 O
0.715 0.578 0.488 O
0.729 0.740 0.870 O
0.739 0.629 0.185 O
0.740 0.729 0.370 O
0.745 0.797 0.666 O
0.765 0.910 0.332 O
0.767 0.082 0.775 O
0.797 0.745 0.166 O
0.807 0.158 0.575 O
0.823 0.899 0.114 O
0.856 0.976 0.460 O
0.899 0.823 0.614 O
0.910 0.765 0.832 O
0.935 0.277 0.936 O
0.964 0.058 0.303 O
0.976 0.856 0.960 O



(4)
ZnPdSe2 | Alexandria | SCAN | single point on PBEsol structure; energy = -21.950 eV/atom; M_tot = 0.00 μB per cell; formation energy without anion corrections = -1.35 eV/f.u.
1.0
5.618 0.000 0.000
0.000 5.618 0.000
0.000 0.000 11.262
Zn Pd Se
4 4 8
direct
0.000 0.000 0.000 Zn
0.000 0.500 0.250 Zn
0.500 0.000 0.750 Zn
0.500 0.500 0.500 Zn
0.000 0.000 0.500 Pd
0.000 0.500 0.750 Pd
0.500 0.000 0.250 Pd
0.500 0.500 0.000 Pd
0.249 0.250 0.625 Se
0.250 0.749 0.875 Se
0.250 0.751 0.375 Se
0.251 0.250 0.125 Se
0.749 0.750 0.125 Se
0.750 0.249 0.375 Se
0.750 0.251 0.875 Se
0.751 0.750 0.625 Se



(5)
Mg2AlAu2 | Alexandria | SCAN | single point on PBEsol structure; energy = -31.853 eV/atom; M_tot = 0.00 μB per cell; E_form = -0.6509 eV per atom
1.0
6.997 0.000 0.000
0.000 6.997 0.000
0.000 0.000 3.739
Mg Al Au
4 2 4
direct
0.157 0.343 0.000 Mg
0.343 0.843 0.000 Mg
0.657 0.157 0.000 Mg
0.843 0.657 0.000 Mg
0.000 0.000 0.500 Al
0.500 0.500 0.500 Al
0.147 0.647 0.500 Au
0.353 0.147 0.500 Au
0.647 0.853 0.500 Au
0.853 0.353 0.500 Au



(6)
YMg7 | Alexandria | SCAN | single point on PBEsol structure; energy = -7.827 eV/atom; M_tot = 1.38 μB per cell; E_form = 0.0052 eV per atom
1.0
0.000 4.595 4.595
4.595 0.000 4.595
4.595 4.595 0.000
Y Mg
1 7
direct
0.000 0.000 0.000 Y
0.000 0.000 0.500 Mg
0.000 0.500 0.000 Mg
0.000 0.500 0.500 Mg
0.500 0.000 0.000 Mg
0.500 0.000 0.500 Mg
0.500 0.500 0.000 Mg
0.500 0.500 0.500 Mg



(7)
Mg2ZrCd | Alexandria | SCAN | single point on PBEsol structure; energy = -17.808 eV/atom; M_tot = 0.08 μB per cell; E_form = -0.0425 eV per atom
1.0
6.118 0.000 0.000
0.000 10.330 0.000
-1.073 0.000 2.674
Mg Zr Cd
4 2 2
direct
0.250 0.250 0.000 Mg
0.250 0.750 0.000 Mg
0.750 0.250 0.000 Mg
0.750 0.750 0.000 Mg
0.000 0.000 0.500 Zr
0.500 0.500 0.500 Zr
0.000 0.500 0.500 Cd
0.500 0.000 0.500 Cd



(8)
SrZr2Hg | Alexandria | SCAN | single point on PBEsol structure; energy = -37.882 eV/atom; M_tot = 0.00 μB per cell; E_form = 0.0781 eV per atom
1.0
3.394 0.000 0.000
-1.697 2.940 0.000
0.000 0.000 31.103
Sr Zr Hg
3 6 3
direct
0.000 0.000 0.000 Sr
0.333 0.667 0.667 Sr
0.667 0.333 0.333 Sr
0.000 0.000 0.507 Zr
0.000 0.000 0.766 Zr
0.333 0.667 0.174 Zr
0.333 0.667 0.432 Zr
0.667 0.333 0.099 Zr
0.667 0.333 0.840 Zr
0.000 0.000 0.248 Hg
0.333 0.667 0.915 Hg
0.667 0.333 0.581 Hg



What did the sixth record say?
YMg7 | Alexandria | SCAN | single point on PBEsol structure; energy = -7.827 eV/atom; M_tot = 1.38 μB per cell; E_form = 0.0052 eV per atom
1.0
0.000 4.595 4.595
4.595 0.000 4.595
4.595 4.595 0.000
Y Mg
1 7
direct
0.000 0.000 0.000 Y
0.000 0.000 0.500 Mg
0.000 0.500 0.000 Mg
0.000 0.500 0.500 Mg
0.500 0.000 0.000 Mg
0.500 0.000 0.500 Mg
0.500 0.500 0.000 Mg
0.500 0.500 0.500 Mg



Q: What is the M_tot in the second record?
A: 0.00 μB per cell



Q: The highest M_tot belongs to which entry?
A: YMg7



Q: Which value of M_tot does entry 4 give?
A: 0.00 μB per cell